No. 1
Computed, not measured: a relaxed Hf4ZnSnN2 crystal at the PBE level of DFT.

```
Hf4ZnSnN2
1.0
3.2442 0.0000 0.0000
-1.6221 2.8096 0.0000
0.0000 0.0000 14.1774
Hf Zn Sn N
4 1 1 2
Direct
0.0000 0.0000 0.1557
0.0000 0.0000 0.8443
0.3333 0.6667 0.3307
0.3333 0.6667 0.6693
0.3333 0.6667 0.0000
0.0000 0.0000 0.5000
0.6667 0.3333 0.2408
0.6667 0.3333 0.7592
```

***

No. 2
Computed, not measured: a relaxed Hf4Zr2Sn3N3 crystal at the PBE level of DFT.

```
Hf4Zr2Sn3N3
1.0
4.9179 -2.8384 0.0000
4.9179 2.8384 0.0000
-3.2784 0.0000 14.5945
Hf Zr Sn N
8 4 6 6
Direct
0.0237 0.1993 0.0848
0.1419 0.3052 0.4152
0.1993 0.0237 0.5848
0.3052 0.1419 0.9152
0.6948 0.8581 0.0848
0.8007 0.9763 0.4152
0.8581 0.6948 0.5848
0.9763 0.8007 0.9152
0.3660 0.5298 0.0873
0.4702 0.6340 0.4127
0.5298 0.3660 0.5873
0.6340 0.4702 0.9127
0.0781 0.9219 0.2500
0.2490 0.4138 0.7490
0.4138 0.2490 0.2490
0.5862 0.7510 0.7510
0.7510 0.5862 0.2510
0.9219 0.0781 0.7500
0.0000 0.5000 0.0000
0.1520 0.6737 0.5000
0.3263 0.8480 0.0000
0.5000 0.0000 0.5000
0.6737 0.1520 0.0000
0.8480 0.3263 0.5000
```

***

No. 3
Computed, not measured: a relaxed HfZrSnN crystal at the PBE level of DFT.

```
HfZrSnN
1.0
3.2938 0.0000 0.0000
-1.6469 2.8525 0.0000
0.0000 0.0000 14.6101
Hf Zr Sn N
2 2 2 2
Direct
0.0000 0.0000 0.1634
0.0000 0.0000 0.8366
0.6667 0.3333 0.3350
0.6667 0.3333 0.6650
0.0000 0.0000 0.5000
0.6667 0.3333 0.0000
0.3333 0.6667 0.2441
0.3333 0.6667 0.7559
```

***

No. 4
Computed, not measured: a relaxed HfZr3Sn2N2 crystal at the PBE level of DFT.

```
HfZr3Sn2N2
1.0
3.3058 0.0000 0.0000
-1.6529 2.8629 0.0000
0.0000 0.0000 14.6577
Hf Zr Sn N
1 3 2 2
Direct
0.0000 0.0000 0.0000
0.0000 0.0000 0.6716
0.6667 0.3333 0.1706
0.6667 0.3333 0.4988
0.0000 0.0000 0.3346
0.6667 0.3333 0.8367
0.3333 0.6667 0.0801
0.3333 0.6667 0.5848
```

***

No. 5
Computed, not measured: a relaxed Sr2HfWN6 crystal at the PBE level of DFT.

```
Sr2HfWN6
1.0
2.8783 1.6618 4.8590
-2.8783 1.6618 4.8590
0.0000 -3.3236 4.8590
Sr Hf W N
2 1 1 6
Direct
0.2486 0.2486 0.2486
0.7514 0.7514 0.7514
0.0000 0.0000 0.0000
0.5000 0.5000 0.5000
0.2557 0.7431 0.2601
0.2569 0.7399 0.7443
0.2601 0.2557 0.7431
0.7399 0.7443 0.2569
0.7431 0.2601 0.2557
0.7443 0.2569 0.7399
```

***

No. 6
Computed, not measured: a relaxed Hf2TaN3 crystal at the PBE level of DFT.

```
Hf2TaN3
1.0
5.3226 0.0000 0.0000
-2.6613 4.6095 0.0000
0.0000 0.0000 3.0271
Hf Ta N
2 1 3
Direct
0.3333 0.6667 0.0000
0.6667 0.3333 0.0000
0.0000 0.0000 0.5000
0.0000 0.5000 0.5000
0.5000 0.0000 0.5000
0.5000 0.5000 0.5000
```

***

No. 7
Computed, not measured: a relaxed Hf2Ta4Tl3N3 crystal at the PBE level of DFT.

```
Hf2Ta4Tl3N3
1.0
4.8519 -2.8183 0.0000
4.8519 2.8183 0.0000
-3.1667 0.0000 14.2933
Hf Ta Tl N
4 8 6 6
Direct
0.0273 0.8580 0.5871
0.1420 0.9727 0.9129
0.8580 0.0273 0.0871
0.9727 0.1420 0.4129
0.1930 0.3663 0.0773
0.3161 0.4653 0.4229
0.3663 0.1930 0.5773
0.4653 0.3161 0.9229
0.5347 0.6839 0.0771
0.6337 0.8070 0.4227
0.6839 0.5347 0.5771
0.8070 0.6337 0.9227
0.0803 0.2662 0.7481
0.2662 0.0803 0.2481
0.4299 0.5701 0.7500
0.5701 0.4299 0.2500
0.7338 0.9197 0.7519
0.9197 0.7338 0.2519
0.0000 0.5000 0.5000
0.1574 0.6862 0.0000
0.3138 0.8426 0.5000
0.5000 0.0000 0.0000
0.6862 0.1574 0.5000
0.8426 0.3138 0.0000
```

***

No. 8
Computed, not measured: a relaxed Hf4Ta2Zn3N3 crystal at the PBE level of DFT.

```
Hf4Ta2Zn3N3
1.0
4.7650 -2.7561 0.0000
4.7650 2.7561 0.0000
-3.1296 0.0000 13.6652
Hf Ta Zn N
8 4 6 6
Direct
0.0339 0.1958 0.0958
0.1328 0.3023 0.4041
0.1958 0.0339 0.5958
0.3023 0.1328 0.9041
0.6977 0.8672 0.0959
0.8042 0.9661 0.4042
0.8672 0.6977 0.5959
0.9661 0.8042 0.9042
0.3588 0.5265 0.0798
0.4735 0.6412 0.4202
0.5265 0.3588 0.5798
0.6412 0.4735 0.9202
0.1291 0.8709 0.2500
0.2963 0.4179 0.7503
0.4179 0.2963 0.2503
0.5821 0.7037 0.7497
0.7037 0.5821 0.2497
0.8709 0.1291 0.7500
0.0000 0.5000 0.0000
0.1559 0.6723 0.5000
0.3277 0.8441 0.0000
0.5000 0.0000 0.5000
0.6723 0.1559 0.0000
0.8441 0.3277 0.5000
```

***

| no. | size of the total moment (μB/cell) | VASP energy (eV/atom) |
| --- | --- | --- |
| 1 | 0.0 | -8.7256 |
| 2 | 0.0 | -8.8873 |
| 3 | 0.0 | -8.7828 |
| 4 | 0.0 | -8.6227 |
| 5 | 0.8 | -8.1187 |
| 6 | 0.0 | -10.5124 |
| 7 | 0.0 | -8.7690 |
| 8 | 0.0 | -8.5460 |